{"formula": "PmPrYSc", "functional": "PBE-GGA", "state": "relaxed", "delta_e_f_ev_per_fu": 0.4, "polymorph_energy_ev_per_fu": 0.00, "m_tot_mub_per_atom": 0.00, "cell": [[5.645, 0.000, 0.000], [2.822, 4.888, 0.000], [2.822, 1.629, 4.609]], "species": ["Pr", "Y", "Sc", "Pm"], "fractional_positions": [[0.500, 0.500, 0.500], [0.250, 0.250, 0.250], [0.750, 0.750, 0.750], [0.000, 0.000, 0.000]]}